Arrangement i

Here is a relaxed LaHfIn crystal from OQMD. Energies are from PBE-GGA.

Structure (CIF):
```
data_LaHfIn
_symmetry_space_group_name_H-M 'F -4 3 m'
_symmetry_Int_Tables_number 216
_symmetry_space_group_name_Hall 'F -4 2 3'
_cell_length_a 7.2994
_cell_length_b 7.2994
_cell_length_c 7.2994
_cell_angle_alpha 90.00
_cell_angle_beta 90.00
_cell_angle_gamma 90.00
loop_
_atom_site_label
_atom_site_fract_x
_atom_site_fract_y
_atom_site_fract_z
_atom_site_occupancy
La1 0.0000 0.0000 0.0000 1
Hf1 0.2500 0.2500 0.7500 1
In1 0.2500 0.2500 0.2500 1
```


Arrangement ii

Here is a relaxed LaHfIn crystal from OQMD. Energies are from PBE-GGA.

Structure (CIF):
```
data_LaHfIn
_symmetry_space_group_name_H-M 'F -4 3 m'
_symmetry_Int_Tables_number 216
_symmetry_space_group_name_Hall 'F -4 2 3'
_cell_length_a 7.2003
_cell_length_b 7.2003
_cell_length_c 7.2003
_cell_angle_alpha 90.00
_cell_angle_beta 90.00
_cell_angle_gamma 90.00
loop_
_atom_site_label
_atom_site_fract_x
_atom_site_fract_y
_atom_site_fract_z
_atom_site_occupancy
La1 0.0000 0.0000 0.0000 1
Hf1 0.0000 0.0000 0.5000 1
In1 0.2500 0.2500 0.7500 1
```


Least stable structure: arrangement i


Arrangement i

Here is a relaxed LiHfIn crystal from OQMD. Energies are from PBE-GGA.

Structure (CIF):
```
data_LiHfIn
_symmetry_space_group_name_H-M 'F -4 3 m'
_symmetry_Int_Tables_number 216
_symmetry_space_group_name_Hall 'F -4 2 3'
_cell_length_a 6.6769
_cell_length_b 6.6769
_cell_length_c 6.6769
_cell_angle_alpha 90.00
_cell_angle_beta 90.00
_cell_angle_gamma 90.00
loop_
_atom_site_label
_atom_site_fract_x
_atom_site_fract_y
_atom_site_fract_z
_atom_site_occupancy
Li1 0.0000 0.0000 0.0000 1
Hf1 0.2500 0.2500 0.7500 1
In1 0.0000 0.0000 0.5000 1
```


Arrangement ii

Here is a relaxed LiHfIn crystal from OQMD. Energies are from PBE-GGA.

Structure (CIF):
```
data_LiHfIn
_symmetry_space_group_name_H-M 'P 4/n m m'
_symmetry_Int_Tables_number 129
_cell_length_a 3.1595
_cell_length_b 3.1595
_cell_length_c 11.8953
_cell_angle_alpha 90.00
_cell_angle_beta 90.00
_cell_angle_gamma 90.00
loop_
_symmetry_equiv_pos_as_xyz
'x,y,z'
'-x,-y,-z'
'-y+1/2,x,z'
'y+1/2,-x,-z'
'-x+1/2,-y+1/2,z'
'x+1/2,y+1/2,-z'
'y,-x+1/2,z'
'-y,x+1/2,-z'
'x+1/2,-y,-z'
'-x+1/2,y,z'
'-y,-x,-z'
'y,x,z'
'-x,y+1/2,-z'
'x,-y+1/2,z'
'y+1/2,x+1/2,-z'
'-y+1/2,-x+1/2,z'
loop_
_atom_site_label
_atom_site_fract_x
_atom_site_fract_y
_atom_site_fract_z
_atom_site_occupancy
Li1 0.2500 0.2500 0.0692 1
Hf1 0.2500 0.2500 0.4103 1
In1 0.2500 0.2500 0.7848 1
```


Least stable structure: arrangement i


Arrangement i

Here is a relaxed LiHfInPt crystal from OQMD. Energies are from PBE-GGA.

Structure (CIF):
```
data_LiHfInPt
_symmetry_space_group_name_H-M 'F -4 3 m'
_symmetry_Int_Tables_number 216
_symmetry_space_group_name_Hall 'F -4 2 3'
_cell_length_a 6.4983
_cell_length_b 6.4983
_cell_length_c 6.4983
_cell_angle_alpha 90.00
_cell_angle_beta 90.00
_cell_angle_gamma 90.00
loop_
_atom_site_label
_atom_site_fract_x
_atom_site_fract_y
_atom_site_fract_z
_atom_site_occupancy
Li1 0.0000 0.0000 0.0000 1
Hf1 0.2500 0.2500 0.2500 1
In1 0.2500 0.2500 0.7500 1
Pt1 0.0000 0.0000 0.5000 1
```


Arrangement ii

Here is a relaxed LiHfInPt crystal from OQMD. Energies are from PBE-GGA.

Structure (CIF):
```
data_LiHfInPt
_symmetry_space_group_name_H-M 'F -4 3 m'
_symmetry_Int_Tables_number 216
_symmetry_space_group_name_Hall 'F -4 2 3'
_cell_length_a 6.5981
_cell_length_b 6.5981
_cell_length_c 6.5981
_cell_angle_alpha 90.00
_cell_angle_beta 90.00
_cell_angle_gamma 90.00
loop_
_atom_site_label
_atom_site_fract_x
_atom_site_fract_y
_atom_site_fract_z
_atom_site_occupancy
Li1 0.0000 0.0000 0.0000 1
Hf1 0.0000 0.0000 0.5000 1
In1 0.2500 0.2500 0.7500 1
Pt1 0.2500 0.2500 0.2500 1
```


Least stable structure: arrangement ii


Arrangement i

Here is a relaxed LiHfInPt crystal from OQMD. Energies are from PBE-GGA.

Structure (CIF):
```
data_LiHfInPt
_symmetry_space_group_name_H-M 'F -4 3 m'
_symmetry_Int_Tables_number 216
_symmetry_space_group_name_Hall 'F -4 2 3'
_cell_length_a 6.4989
_cell_length_b 6.4989
_cell_length_c 6.4989
_cell_angle_alpha 90.00
_cell_angle_beta 90.00
_cell_angle_gamma 90.00
loop_
_atom_site_label
_atom_site_fract_x
_atom_site_fract_y
_atom_site_fract_z
_atom_site_occupancy
Li1 0.0000 0.0000 0.0000 1
Hf1 0.2500 0.2500 0.7500 1
In1 0.2500 0.2500 0.2500 1
Pt1 0.0000 0.0000 0.5000 1
```


Arrangement ii

Here is a relaxed LiHfInPt crystal from OQMD. Energies are from PBE-GGA.

Structure (CIF):
```
data_LiHfInPt
_symmetry_space_group_name_H-M 'F -4 3 m'
_symmetry_Int_Tables_number 216
_symmetry_space_group_name_Hall 'F -4 2 3'
_cell_length_a 6.5398
_cell_length_b 6.5398
_cell_length_c 6.5398
_cell_angle_alpha 90.00
_cell_angle_beta 90.00
_cell_angle_gamma 90.00
loop_
_atom_site_label
_atom_site_fract_x
_atom_site_fract_y
_atom_site_fract_z
_atom_site_occupancy
Li1 0.0000 0.0000 0.0000 1
Hf1 0.2500 0.2500 0.7500 1
In1 0.0000 0.0000 0.5000 1
Pt1 0.2500 0.2500 0.2500 1
```


Least stable structure: arrangement ii


Arrangement i

Here is a relaxed HfMgInNi crystal from OQMD. Energies are from PBE-GGA.

Structure (CIF):
```
data_HfMgInNi
_symmetry_space_group_name_H-M 'F -4 3 m'
_symmetry_Int_Tables_number 216
_symmetry_space_group_name_Hall 'F -4 2 3'
_cell_length_a 6.6265
_cell_length_b 6.6265
_cell_length_c 6.6265
_cell_angle_alpha 90.00
_cell_angle_beta 90.00
_cell_angle_gamma 90.00
loop_
_atom_site_label
_atom_site_fract_x
_atom_site_fract_y
_atom_site_fract_z
_atom_site_occupancy
Hf1 0.0000 0.0000 0.0000 1
Mg1 0.2500 0.2500 0.7500 1
In1 0.2500 0.2500 0.2500 1
Ni1 0.0000 0.0000 0.5000 1
```


Arrangement ii

Here is a relaxed HfMgInNi crystal from OQMD. Energies are from PBE-GGA.

Structure (CIF):
```
data_HfMgInNi
_symmetry_space_group_name_H-M 'F -4 3 m'
_symmetry_Int_Tables_number 216
_symmetry_space_group_name_Hall 'F -4 2 3'
_cell_length_a 6.5603
_cell_length_b 6.5603
_cell_length_c 6.5603
_cell_angle_alpha 90.00
_cell_angle_beta 90.00
_cell_angle_gamma 90.00
loop_
_atom_site_label
_atom_site_fract_x
_atom_site_fract_y
_atom_site_fract_z
_atom_site_occupancy
Hf1 0.0000 0.0000 0.0000 1
Mg1 0.2500 0.2500 0.2500 1
In1 0.0000 0.0000 0.5000 1
Ni1 0.2500 0.2500 0.7500 1
```


Least stable structure: arrangement i


Arrangement i

Here is a relaxed NaHfInPd crystal from OQMD. Energies are from PBE-GGA.

Structure (CIF):
```
data_NaHfInPd
_symmetry_space_group_name_H-M 'F -4 3 m'
_symmetry_Int_Tables_number 216
_symmetry_space_group_name_Hall 'F -4 2 3'
_cell_length_a 6.6885
_cell_length_b 6.6885
_cell_length_c 6.6885
_cell_angle_alpha 90.00
_cell_angle_beta 90.00
_cell_angle_gamma 90.00
loop_
_atom_site_label
_atom_site_fract_x
_atom_site_fract_y
_atom_site_fract_z
_atom_site_occupancy
Na1 0.0000 0.0000 0.0000 1
Hf1 0.2500 0.2500 0.2500 1
In1 0.2500 0.2500 0.7500 1
Pd1 0.0000 0.0000 0.5000 1
```


Arrangement ii

Here is a relaxed NaHfInPd crystal from OQMD. Energies are from PBE-GGA.

Structure (CIF):
```
data_NaHfInPd
_symmetry_space_group_name_H-M 'F -4 3 m'
_symmetry_Int_Tables_number 216
_symmetry_space_group_name_Hall 'F -4 2 3'
_cell_length_a 6.8491
_cell_length_b 6.8491
_cell_length_c 6.8491
_cell_angle_alpha 90.00
_cell_angle_beta 90.00
_cell_angle_gamma 90.00
loop_
_atom_site_label
_atom_site_fract_x
_atom_site_fract_y
_atom_site_fract_z
_atom_site_occupancy
Na1 0.0000 0.0000 0.0000 1
Hf1 0.0000 0.0000 0.5000 1
In1 0.2500 0.2500 0.7500 1
Pd1 0.2500 0.2500 0.2500 1
```


Least stable structure: arrangement ii


Arrangement i

Here is a relaxed Hf2Nb2In crystal from OQMD. Energies are from PBE-GGA.

Structure (CIF):
```
data_Hf2Nb2In
_symmetry_space_group_name_H-M 'I 4/m m m'
_symmetry_Int_Tables_number 139
_symmetry_space_group_name_Hall '-I 4 2'
_cell_length_a 4.1144
_cell_length_b 4.1144
_cell_length_c 13.2623
_cell_angle_alpha 90.00
_cell_angle_beta 90.00
_cell_angle_gamma 90.00
loop_
_atom_site_label
_atom_site_fract_x
_atom_site_fract_y
_atom_site_fract_z
_atom_site_occupancy
Hf1 0.0000 0.5000 0.2500 1
Nb1 0.0000 0.0000 0.0929 1
In1 0.0000 0.0000 0.5000 1
```


Arrangement ii

Here is a relaxed Hf2Nb2In crystal from OQMD. Energies are from PBE-GGA.

Structure (CIF):
```
data_Hf2Nb2In
_symmetry_space_group_name_H-M 'I 4/m m m'
_symmetry_Int_Tables_number 139
_symmetry_space_group_name_Hall '-I 4 2'
_cell_length_a 3.9264
_cell_length_b 3.9264
_cell_length_c 14.3323
_cell_angle_alpha 90.00
_cell_angle_beta 90.00
_cell_angle_gamma 90.00
loop_
_atom_site_label
_atom_site_fract_x
_atom_site_fract_y
_atom_site_fract_z
_atom_site_occupancy
Hf1 0.0000 0.0000 0.0987 1
Nb1 0.0000 0.5000 0.2500 1
In1 0.0000 0.0000 0.5000 1
```


Least stable structure: arrangement i